Entry 1:
A PBEsol-optimized structure of OsRhSe, computed with SCAN.

The structure in POSCAR format:
```
OsRhSe
1.0
-1.3755 -2.2943 -0.6597
2.2019 -0.1535 1.6490
-4.4364 2.0686 4.9559
Se Rh Os
1 1 1
Direct
0.3341 0.3341 0.6682
0.6631 0.6631 0.3263
0.0027 0.0027 0.0055
```

Computed properties:
Energy above the lowest structure with this stoichiometry in meV per atom: 382.6
Raw formation energy in eV/atom: 0.742
Total energy in Ry/atom: -3.0258

Entry 2:
A PBEsol-optimized structure of OsRh2Se, computed with SCAN.

The structure in POSCAR format:
```
OsRh2Se
1.0
2.7610 0.0000 0.0000
0.0000 2.7610 0.0000
0.0000 0.0000 7.5740
Rh Se Os
2 1 1
Direct
0.0000 0.0000 0.2610
0.0000 0.0000 0.7390
0.5000 0.5000 0.0000
0.5000 0.5000 0.5000
```

Computed properties:
Raw formation energy in eV/atom: 0.222
Total energy in Ry/atom: -2.9145

Entry 3:
A PBEsol-optimized structure of Os3RhSe, computed with SCAN.

The structure in POSCAR format:
```
Os3RhSe
1.0
-2.3217 -3.0408 -2.2298
3.7672 -1.9834 -1.2178
-0.1624 -2.5355 3.6268
Se Os Rh
1 3 1
Direct
0.0000 0.0000 0.0000
0.0000 0.0000 0.5000
0.5000 0.0000 0.0000
0.0000 0.5000 0.0000
0.5000 0.5000 0.5000
```

Computed properties:
Raw formation energy in eV/atom: 2.066
Total energy in Ry/atom: -3.8096